No. 1
The following is a DFT calculation (PBE) of a relaxed ZnCuSiB2 crystal.

Structure (CIF):
```
data_ZnCuSiB2
_space_group_name_H-M_alt 'P 1'
_space_group_IT_number 1
_space_group_name_Hall 'P 1'
_cell_length_a 3.8709
_cell_length_b 4.7817
_cell_length_c 3.8709
_cell_angle_alpha 90.00
_cell_angle_beta 90.00
_cell_angle_gamma 90.00
loop_
_atom_site_label
_atom_site_fract_x
_atom_site_fract_y
_atom_site_fract_z
Cu1 0.0000 0.5000 0.0000
B1 0.0000 0.0000 0.5000
B2 0.5000 0.0000 0.0000
Zn1 0.0000 0.0000 0.0000
Si1 0.5000 0.5000 0.5000
```

Summary:
The uncorrected formation energy is 1528 meV/atom. For the calculated volume, the calculation gives 71.7 Å³/f.u. Its space group is P4/mmm (123).

No. 2
The following is a DFT calculation (PBE) of a relaxed ZrCuSiB2 crystal.

Structure (CIF):
```
data_ZrCuSiB2
_space_group_name_H-M_alt 'P 1'
_space_group_IT_number 1
_space_group_name_Hall 'P 1'
_cell_length_a 3.8097
_cell_length_b 4.8338
_cell_length_c 3.8097
_cell_angle_alpha 90.00
_cell_angle_beta 90.00
_cell_angle_gamma 90.00
loop_
_atom_site_label
_atom_site_fract_x
_atom_site_fract_y
_atom_site_fract_z
Cu1 0.0000 0.0000 0.0000
Si1 0.0000 0.5000 0.0000
B1 0.5000 0.0000 0.0000
B2 0.0000 0.0000 0.5000
Zr1 0.5000 0.5000 0.5000
```

Summary:
The uncorrected formation energy is 785 meV/atom. For the calculated volume, the calculation gives 70.2 Å³/f.u. Its space group is P4/mmm (123).

DFT total energy (eV/f.u.)
-16.51, -27.50